(1)
A relaxed PuSiPt3 crystal. Source: Alexandria via LeMat-Bulk, functional GGA-PBE.

Structure (POSCAR):
```
PuSiPt3
1.0
-2.112 -2.575 -2.287
-2.800 -0.277 2.900
-5.210 2.830 -1.944
Pu Si Pt
1 1 3
Direct
0.390 0.194 0.924
0.023 0.826 0.660
0.640 0.943 0.426
0.140 0.443 0.426
0.815 0.619 0.075
```

Output
Its energy relative to the lowest polymorph listed for this composition is 0.000 eV/atom. The space group is I4mm (107). Its uncorrected energy is -8.4622 eV/atom. The value obtained for the formation energy (no corrections) is -887 meV per atom. For the magnetization, the calculation gives 5.183 μB per cell.


(2)
A relaxed PuSiPt6 crystal. Source: Alexandria via LeMat-Bulk, functional GGA-PBE.

Structure (POSCAR):
```
PuSiPt6
1.0
5.432 0.000 0.000
2.716 4.705 0.000
2.716 1.568 6.275
Pu Si Pt
1 1 6
Direct
0.500 0.500 0.500
0.000 0.000 0.000
0.921 0.921 0.725
0.433 0.921 0.725
0.079 0.567 0.275
0.567 0.079 0.275
0.079 0.079 0.275
0.921 0.433 0.725
```

Output
The space group is R-3m (166). Its uncorrected energy is -7.4106 eV/atom. The value obtained for the formation energy (no corrections) is -411 meV per atom. For the magnetization, the calculation gives 4.624 μB per cell.


(3)
A relaxed PuSiPt2 crystal. Source: Alexandria via LeMat-Bulk, functional GGA-PBE.

Structure (POSCAR):
```
PuSiPt2
1.0
-2.726 0.255 3.110
0.755 -1.944 3.581
1.759 3.641 4.003
Si Pt Pu
1 2 1
Direct
0.000 0.000 0.000
0.285 0.285 0.144
0.715 0.715 0.856
0.500 0.500 0.500
```

Output
The space group is R-3m (166). Its uncorrected energy is -8.7213 eV/atom. The value obtained for the formation energy (no corrections) is -762 meV per atom. For the magnetization, the calculation gives 5.153 μB per cell.


(4)
A relaxed Pu2Si3Pt9 crystal. Source: Alexandria via LeMat-Bulk, functional GGA-PBE.

Structure (POSCAR):
```
Pu2Si3Pt9
1.0
-0.918 4.306 6.295
-6.091 -1.909 -4.274
1.537 -9.747 2.304
Pu Si Pt
4 6 18
Direct
0.337 0.242 0.751
0.663 0.758 0.249
0.991 0.586 0.749
0.009 0.414 0.251
0.500 0.000 0.000
0.500 0.500 0.500
0.856 0.179 0.502
0.144 0.821 0.498
0.177 0.354 0.998
0.823 0.646 0.002
0.443 0.917 0.740
0.557 0.083 0.260
0.676 0.702 0.760
0.324 0.298 0.240
0.437 0.635 0.923
0.563 0.365 0.077
0.212 0.513 0.577
0.788 0.487 0.423
0.891 0.141 0.750
0.109 0.859 0.250
0.139 0.990 0.941
0.861 0.010 0.059
0.549 0.198 0.559
0.451 0.802 0.441
0.879 0.859 0.571
0.121 0.141 0.429
0.788 0.308 0.929
0.212 0.692 0.071
```

Output
The space group is C2/c (15). Its uncorrected energy is -7.8362 eV/atom. The value obtained for the formation energy (no corrections) is -743 meV per atom. For the magnetization, the calculation gives 19.460 μB per cell.